AlCrS4 PBE optimized geometry; E_form (uncorrected) = -3.43 eV/f.u.; DOS at the Fermi energy = 4.03 states/eV/cell; total magnetization = 1.4 μB per cell; crystal system = monoclinic; raw total energy = -5.55 eV per atom
1.0
3.3209 0.0000 0.0000
0.0000 5.6358 0.0649
0.0000 0.0860 5.9179
S Cr Al
4 1 1
direct
0.5000 0.2415 0.8336
0.0000 0.2397 0.3164
0.0000 0.7603 0.6836
0.5000 0.7585 0.1664
0.0000 0.0000 0.0000
0.5000 0.0000 0.5000